[1]
Entry from Alexandria via LeMat-Bulk: an optimized crystal structure of TiAgB3 (PBE).

```
TiAgB3
1.0
-3.6693 -1.7446 0.9324
-0.8912 -0.2963 -4.0614
1.7660 -3.7744 -0.1121
B Ag Ti
3 1 1
direct
0.0000 0.5000 0.0000 B
0.0000 0.0000 0.5000 B
0.5000 0.0000 0.0000 B
0.5000 0.5000 0.5000 Ag
0.0000 0.0000 0.0000 Ti
```

- space group = Pm-3m
- energy above the lowest structure with this stoichiometry (eV per atom) = 0.000

[2]
Entry from Alexandria via LeMat-Bulk: an optimized crystal structure of TiAgB (PBE).

```
TiAgB
1.0
8.0951 0.0000 0.0000
0.0000 3.6329 0.0000
0.0000 0.0000 5.7681
B Ag Ti
4 4 4
direct
0.8504 0.2500 0.3673 B
0.6496 0.7500 0.8673 B
0.1496 0.7500 0.6327 B
0.3504 0.2500 0.1327 B
0.1091 0.2500 0.8908 Ag
0.3909 0.7500 0.3908 Ag
0.8909 0.7500 0.1092 Ag
0.6091 0.2500 0.6092 Ag
0.1245 0.2500 0.4005 Ti
0.3755 0.7500 0.9005 Ti
0.8755 0.7500 0.5995 Ti
0.6245 0.2500 0.0995 Ti
```

- space group = Pnma

[3]
Entry from Alexandria via LeMat-Bulk: an optimized crystal structure of TiAgB (PBE).

```
TiAgB
1.0
10.1752 0.0000 0.0001
-0.0003 3.0193 0.0000
0.0002 -1.5097 2.6148
B Ag Ti
2 2 2
direct
0.6146 0.7654 0.1216 B
0.6163 0.4321 0.4550 B
0.2339 0.4316 0.4547 Ag
0.9969 0.7653 0.1211 Ag
0.7685 0.0988 0.7882 Ti
0.4624 0.0987 0.7883 Ti
```

- space group = P-3m1

no.,formation energy (eV per atom)
1,1.588
2,0.049
3,-0.496